# 1
VASP calculation (PBE) on crystalline HgW2Se at its relaxed geometry.

abc: 4.538 4.538 5.567
angles: 79.81 79.81 38.93
Fractional coordinates of all 4 atoms:
Hg  0.250  0.250  0.250
W  0.495  0.495  0.534
Se  0.750  0.750  0.750
W  0.005  0.005  0.966

Output
- Formation energy (no corrections): 0.82 eV/atom
- Mass density: 15.2 Mg/m³
- Calculated total energy: -6.6069 eV per atom



# 2
VASP calculation (PBE) on crystalline HgW2Se at its relaxed geometry.

abc: 5.079 5.079 2.984
angles: 90.00 90.00 112.49
Fractional coordinates of all 4 atoms:
Hg  0.500  0.000  0.500
Se  0.000  0.500  0.500
W  0.500  0.500  0.000
W  0.000  0.000  0.000

Output
- Formation energy (no corrections): 1.13 eV/atom
- Mass density: 15.1 Mg/m³
- Calculated total energy: -6.2933 eV per atom



# 3
VASP calculation (PBE) on crystalline HgW2Se at its relaxed geometry.

abc: 5.463 5.463 5.463
angles: 137.60 137.60 61.52
Fractional coordinates of all 4 atoms:
W  0.000  0.000  0.000
Hg  0.250  0.750  0.500
Se  0.750  0.250  0.500
W  0.500  0.500  0.000

Output
- Formation energy (no corrections): 1.17 eV/atom
- Mass density: 14.7 Mg/m³
- Calculated total energy: -6.2505 eV per atom



# 4
VASP calculation (PBE) on crystalline HgW2Se at its relaxed geometry.

abc: 5.388 5.373 2.943
angles: 79.02 80.43 117.12
Fractional coordinates of all 4 atoms:
Se  0.500  0.500  0.000
Hg  0.000  0.500  0.500
W  0.000  0.000  0.000
W  0.500  0.000  0.500

Output
- Formation energy (no corrections): 1.02 eV/atom
- Mass density: 15.1 Mg/m³
- Calculated total energy: -6.4009 eV per atom



# 5
VASP calculation (PBE) on crystalline HgW2Se at its relaxed geometry.

abc: 2.984 2.984 9.261
angles: 90.00 90.00 119.53
Fractional coordinates of all 4 atoms:
W  0.000  0.000  0.523
Se  0.500  0.500  0.750
W  0.000  0.000  0.977
Hg  0.500  0.500  0.250

Output
- Formation energy (no corrections): 0.92 eV/atom
- Mass density: 15.0 Mg/m³
- Calculated total energy: -6.4995 eV per atom



# 6
VASP calculation (PBE) on crystalline HgW2Se at its relaxed geometry.

abc: 4.667 4.667 4.667
angles: 120.05 120.05 89.92
Fractional coordinates of all 4 atoms:
W  0.250  0.750  0.500
Se  0.750  0.250  0.500
W  0.000  0.000  0.000
Hg  0.500  0.500  0.000

Output
- Formation energy (no corrections): 0.98 eV/atom
- Mass density: 15.0 Mg/m³
- Calculated total energy: -6.4400 eV per atom



# 7
VASP calculation (PBE) on crystalline Hg3WSe at its relaxed geometry.

abc: 5.411 5.411 5.411
angles: 90.00 90.00 90.00
Each line ends with the local moment (μB).
Fractional coordinates of all 5 atoms:
W  0.500  0.500  0.500  3.38
Se  0.000  0.000  0.000  -0.02
Hg  0.000  0.500  0.000  0.00
Hg  0.000  0.000  0.500  0.01
Hg  0.500  0.000  0.000  0.00

Output
- Formation energy (no corrections): 1.51 eV/atom
- Mass density: 9.1 Mg/m³
- Calculated total energy: -1.9572 eV per atom



# 8
VASP calculation (PBE) on crystalline HgW2Se at its relaxed geometry.

abc: 3.106 3.106 7.041
angles: 90.00 90.00 90.00
Fractional coordinates of all 4 atoms:
W  0.000  0.000  0.958
W  0.000  0.000  0.542
Se  0.500  0.500  0.750
Hg  0.500  0.500  0.250

Output
- Formation energy (no corrections): 0.76 eV/atom
- Mass density: 15.8 Mg/m³
- Calculated total energy: -6.6615 eV per atom



# 9
VASP calculation (PBE) on crystalline HgW2Se at its relaxed geometry.

abc: 4.576 4.576 4.576
angles: 60.00 60.00 60.00
Fractional coordinates of all 4 atoms:
Se  0.000  0.000  0.000
W  0.250  0.250  0.250
W  0.750  0.750  0.750
Hg  0.500  0.500  0.500

Output
- Formation energy (no corrections): 0.96 eV/atom
- Mass density: 15.9 Mg/m³
- Calculated total energy: -6.4617 eV per atom



# 10
VASP calculation (PBE) on crystalline HgW2Se at its relaxed geometry.

abc: 3.173 4.755 4.760
angles: 90.00 90.00 90.00
Fractional coordinates of all 4 atoms:
Hg  0.500  0.000  0.500
W  0.000  0.000  0.000
Se  0.000  0.500  0.500
W  0.500  0.500  0.000

Output
- Formation energy (no corrections): 0.96 eV/atom
- Mass density: 15.0 Mg/m³
- Calculated total energy: -6.4582 eV per atom



# 11
VASP calculation (PBE) on crystalline HgW2Se at its relaxed geometry.

abc: 3.120 3.120 8.003
angles: 90.00 90.00 90.00
Fractional coordinates of all 4 atoms:
Se  0.500  0.500  0.821
W  0.500  0.500  0.208
W  0.000  0.000  0.006
Hg  0.000  0.000  0.465

Output
- Formation energy (no corrections): 0.41 eV/atom
- Mass density: 13.8 Mg/m³
- Calculated total energy: -7.0171 eV per atom



# 12
VASP calculation (PBE) on crystalline HgW2Se at its relaxed geometry.

abc: 4.679 3.956 3.956
angles: 90.00 90.00 90.00
Fractional coordinates of all 4 atoms:
W  0.000  0.500  0.500
Hg  0.500  0.500  0.000
Se  0.500  0.000  0.500
W  0.000  0.000  0.000

Output
- Formation energy (no corrections): 1.18 eV/atom
- Mass density: 14.7 Mg/m³
- Calculated total energy: -6.2464 eV per atom